Arrangement P

A relaxed structure of Y2ZrNi, computed with PBE.

Its theoretical density is 5.8 Mg/m³.

It has space group Fm-3m (No. 225), with a = 7.2040 Å, b = 7.2040 Å, c = 7.2040 Å, α = 90.00°, β = 90.00° and γ = 90.00°. The distinct sites, in fractional coordinates, are Y at (0.2500, 0.2500, 0.2500), Zr at (0.0000, 0.0000, 0.0000) and Ni at (0.0000, 0.0000, 0.5000).

Arrangement Q

A relaxed structure of Y2ZrNi, computed with PBE.

Its theoretical density is 5.8 Mg/m³.

It has space group I-4m2 (No. 119), with a = 4.2236 Å, b = 4.2236 Å, c = 10.4892 Å, α = 90.00°, β = 90.00° and γ = 90.00°. The distinct sites, in fractional coordinates, are Y at (0.0000, 0.0000, 0.0000), Y at (0.0000, 0.5000, 0.2500), Zr at (0.0000, 0.5000, 0.7500) and Ni at (0.0000, 0.0000, 0.5000).

Arrangement R

A relaxed structure of Y2ZrNi, computed with PBE.

Its theoretical density is 6.0 Mg/m³.

It has space group F-43m (No. 216), with a = 7.1385 Å, b = 7.1385 Å, c = 7.1385 Å, α = 90.00°, β = 90.00° and γ = 90.00°. The distinct sites, in fractional coordinates, are Y at (0.0000, 0.0000, 0.0000), Y at (0.2500, 0.2500, 0.2500), Zr at (0.2500, 0.2500, 0.7500) and Ni at (0.0000, 0.0000, 0.5000).

Question: which arrangement is favored energetically? Ranking from most to least stable: arrangement Q, arrangement P, arrangement R.

Arrangement P

A relaxed structure of Y2ZrNi, computed with PBE.

Its theoretical density is 5.7 Mg/m³.

It has space group Imm2 (No. 44), with a = 3.4862 Å, b = 5.1541 Å, c = 10.6361 Å, α = 90.00°, β = 90.00° and γ = 90.00°. The distinct sites, in fractional coordinates, are Y at (0.0000, 0.0000, 0.0000), Y at (0.0000, 0.5000, 0.2057), Zr at (0.0000, 0.0000, 0.4024) and Ni at (0.0000, 0.5000, 0.7208).

Arrangement Q

A relaxed structure of Y2ZrNi, computed with PBE.

Its theoretical density is 5.8 Mg/m³.

It has space group Immm (No. 71), with a = 3.5592 Å, b = 5.1157 Å, c = 10.3443 Å, α = 90.00°, β = 90.00° and γ = 90.00°. The distinct sites, in fractional coordinates, are Y at (0.0000, 0.0000, 0.2014), Zr at (0.0000, 0.5000, 0.0000) and Ni at (0.0000, 0.5000, 0.5000).

Question: which arrangement is favored energetically? Ranking from most to least stable: arrangement P, arrangement Q.

Arrangement P

A relaxed structure of YZr2Ni2, computed with PBE.

Its theoretical density is 6.3 Mg/m³.

It has space group I4/mmm (No. 139), with a = 4.4786 Å, b = 4.4786 Å, c = 10.1594 Å, α = 90.00°, β = 90.00° and γ = 90.00°. The distinct sites, in fractional coordinates, are Y at (0.0000, 0.0000, 0.0000), Zr at (0.0000, 0.5000, 0.2500) and Ni at (0.0000, 0.0000, 0.3848).

Arrangement Q

A relaxed structure of YZr2Ni2, computed with PBE.

Its theoretical density is 6.0 Mg/m³.

It has space group I4/mmm (No. 139), with a = 4.6762 Å, b = 4.6762 Å, c = 9.8138 Å, α = 90.00°, β = 90.00° and γ = 90.00°. The distinct sites, in fractional coordinates, are Y at (0.0000, 0.0000, 0.0000), Zr at (0.0000, 0.0000, 0.3469) and Ni at (0.0000, 0.5000, 0.2500).

Question: which arrangement is favored energetically? Ranking from most to least stable: arrangement P, arrangement Q.